Entry from the Alexandria database: Tl2OsAu at its PBEsol-relaxed geometry (meta-GGA SCAN).

abc: 9.4304 9.4304 9.4304
angles: 18.85 18.85 18.85
Closest atoms and distances in Å follow each position.
Sites, in units of the cell vectors:
Tl: 0.2462 0.2462 0.2462  3 Os 2.84, 3 Au 3.01, 6 Tl 3.09
Tl: 0.7538 0.7538 0.7538  3 Os 2.84, 3 Au 3.01, 6 Tl 3.09
Os: 0.5000 0.5000 0.5000  6 Tl 2.84, 6 Os 3.09
Au: 0.0000 0.0000 0.0000  6 Tl 3.01, 6 Au 3.09

SG	R-3m, No. 166
ΔE to the lowest computed polymorph	0.202	eV per atom
total DFT energy (no corrections)	-282.49	eV for the cell shown


Entry from the Alexandria database: KCoTe2 at its PBEsol-relaxed geometry (meta-GGA SCAN).

abc: 3.2039 4.4809 8.5163
angles: 90.00 90.88 90.00
Closest atoms and distances in Å follow each position.
Sites, in units of the cell vectors:
K: 0.0000 0.0000 0.0000  2 K 3.20, 6 Te 3.43-3.49
Co: 0.4882 0.5000 0.5234  3 Te 2.42-2.44
Te: 0.4841 0.0000 0.6363  2 Co 2.44
Te: 0.5107 0.5000 0.2401  1 Co 2.42

SG	Pm, No. 6
uncorrected formation energy	-0.1931	eV per atom
total DFT energy (no corrections)	-100.91	eV for the cell shown


Entry from the Alexandria database: Ti2SiSb2 at its PBEsol-relaxed geometry (meta-GGA SCAN).

abc: 6.9778 6.9778 3.8773
angles: 90.00 90.00 90.00
Closest atoms and distances in Å follow each position.
Sites, in units of the cell vectors:
Ti: 0.1520 0.3480 0.0000  2 Si 2.65, 6 Sb 2.73-2.88
Ti: 0.3480 0.8480 0.0000  2 Si 2.65, 6 Sb 2.73-2.88
Ti: 0.6520 0.1520 0.0000  2 Si 2.65, 6 Sb 2.73-2.88
Ti: 0.8480 0.6520 0.0000  2 Si 2.65, 6 Sb 2.73-2.88
Si: 0.0000 0.0000 0.0000  4 Ti 2.65
Si: 0.5000 0.5000 0.0000  4 Ti 2.65
Sb: 0.1535 0.6535 0.5000  6 Ti 2.73-2.88, 1 Sb 3.03
Sb: 0.3465 0.1535 0.5000  6 Ti 2.73-2.88, 1 Sb 3.03
Sb: 0.6535 0.8465 0.5000  6 Ti 2.73-2.88, 1 Sb 3.03
Sb: 0.8465 0.3465 0.5000  6 Ti 2.73-2.88, 1 Sb 3.03

SG	P4/mbm, No. 127
uncorrected formation energy	-0.2643	eV per atom
total DFT energy (no corrections)	-235.84	eV for the cell shown


Entry from the Alexandria database: AlMoBr at its PBEsol-relaxed geometry (meta-GGA SCAN).

abc: 3.1309 3.1309 6.1505
angles: 90.00 90.00 120.00
Closest atoms and distances in Å follow each position.
Sites, in units of the cell vectors:
Al: 0.0000 0.0000 0.0000  3 Mo 2.63
Mo: 0.3333 0.6667 0.3103  3 Br 2.61, 3 Al 2.63
Br: 0.6667 0.3333 0.6174  3 Mo 2.61

SG	P3m1, No. 156
ΔE to the lowest computed polymorph	0.000	eV per atom
uncorrected formation energy	0.3249	eV per atom
total DFT energy (no corrections)	-61.12	eV for the cell shown


Entry from the Alexandria database: KSb2Ru at its PBEsol-relaxed geometry (meta-GGA SCAN).

abc: 4.5383 7.6776 7.6776
angles: 29.51 90.00 90.00
Closest atoms and distances in Å follow each position.
Sites, in units of the cell vectors:
K: 0.0000 0.0000 0.0000  6 Sb 3.53-3.54, 2 K 3.91
Sb: 0.0000 0.3010 0.3010  2 Ru 2.51
Sb: 0.5000 0.6257 0.6257  2 Ru 2.48
Ru: 0.5000 0.2279 0.2279  4 Sb 2.48-2.51

SG	Amm2, No. 38
ΔE to the lowest computed polymorph	0.227	eV per atom
uncorrected formation energy	0.0207	eV per atom
total DFT energy (no corrections)	-117.59	eV for the cell shown


Entry from the Alexandria database: TiP2PbO8 at its PBEsol-relaxed geometry (meta-GGA SCAN).

abc: 8.7296 8.7296 8.2544
angles: 115.37 115.37 34.54
Closest atoms and distances in Å follow each position.
Sites, in units of the cell vectors:
Ti: 0.0000 0.5000 0.0000  6 O 1.88-1.98
Ti: 0.5000 0.0000 0.5000  6 O 1.88-1.98
P: 0.0932 0.6202 0.7432  4 O 1.53-1.56
P: 0.3798 0.9068 0.7568  4 O 1.53-1.56
P: 0.6202 0.0932 0.2432  4 O 1.53-1.56
P: 0.9068 0.3798 0.2568  4 O 1.53-1.56
Pb: 0.3401 0.6599 0.2500  8 O 2.54-2.73
Pb: 0.6599 0.3401 0.7500  8 O 2.54-2.73
O: 0.0159 0.5559 0.8143  1 P 1.54
O: 0.1193 0.1737 0.8490  1 P 1.55
O: 0.1737 0.1193 0.3490  1 P 1.55
O: 0.2444 0.6584 0.8902  1 P 1.53
O: 0.2857 0.3767 0.5975  1 P 1.56
O: 0.3416 0.7556 0.6098  1 P 1.53
O: 0.3767 0.2857 0.0975  1 P 1.56
O: 0.4441 0.9841 0.6857  1 P 1.54
O: 0.5559 0.0159 0.3143  1 P 1.54
O: 0.6233 0.7143 0.9025  1 P 1.56
O: 0.6584 0.2444 0.3902  1 P 1.53
O: 0.7143 0.6233 0.4025  1 P 1.56
O: 0.7556 0.3416 0.1098  1 P 1.53
O: 0.8263 0.8807 0.6510  1 P 1.55
O: 0.8807 0.8263 0.1510  1 P 1.55
O: 0.9841 0.4441 0.1857  1 P 1.54

SG	C2/c, No. 15
uncorrected formation energy	-2.5786	eV per atom
total DFT energy (no corrections)	-386.80	eV for the cell shown


Entry from the Alexandria database: FeSiGeSe2 at its PBEsol-relaxed geometry (meta-GGA SCAN).

abc: 4.9646 4.9646 4.4477
angles: 90.00 90.00 90.00
Closest atoms and distances in Å follow each position.
Sites, in units of the cell vectors:
Fe: 0.0000 0.0000 0.0000  2 Ge 2.22
Si: 0.5000 0.5000 0.0000  8 Se 3.33, 4 Fe 3.51
Ge: 0.0000 0.0000 0.5000  2 Fe 2.22, 4 Se 2.48
Se: 0.0000 0.5000 0.5000  2 Ge 2.48
Se: 0.5000 0.0000 0.5000  2 Ge 2.48

SG	P4/mmm, No. 123
uncorrected formation energy	0.9736	eV per atom
total DFT energy (no corrections)	-82.52	eV for the cell shown


Entry from the Alexandria database: Sm2MgAl at its PBEsol-relaxed geometry (meta-GGA SCAN).

abc: 5.2320 5.2320 5.2320
angles: 60.00 60.00 60.00
Closest atoms and distances in Å follow each position.
Sites, in units of the cell vectors:
Sm: 0.2500 0.2500 0.2500  4 Mg 3.20, 4 Al 3.20
Sm: 0.7500 0.7500 0.7500  4 Mg 3.20, 4 Al 3.20
Mg: 0.0000 0.0000 0.0000  8 Sm 3.20
Al: 0.5000 0.5000 0.5000  8 Sm 3.20

SG	Fm-3m, No. 225
total DFT energy (no corrections)	-102.76	eV for the cell shown